GGA+U Ti3CoF, relaxed; energy above the lowest structure with this stoichiometry = 508.7 meV/atom; size of the total moment = 1.88 μB/f.u.; N(E_F) = 3.2 states/eV/f.u.; electronic total energy = -5.8339 eV per atom; space group = Pm-3m, No. 221
1.0
4.515 0.000 0.000
0.000 4.515 0.000
0.000 0.000 4.515
Ti Co F
3 1 1
direct
0.000 0.000 0.500
0.000 0.500 0.000
0.500 0.000 0.000
0.000 0.000 0.000
0.500 0.500 0.500